# 1
# GGA-PBE MgSiBr2, relaxed
data_MgSiBr2
_cell_length_a 3.674
_cell_length_b 3.674
_cell_length_c 9.626
_cell_angle_alpha 90.00
_cell_angle_beta 90.00
_cell_angle_gamma 119.81
_symmetry_space_group_name_H-M 'P 1'
_symmetry_Int_Tables_number 1
_symmetry_space_group_name_Hall 'P 1'
loop_
_atom_site_label
_atom_site_fract_x
_atom_site_fract_y
_atom_site_fract_z
Mg1 0.000 0.000 0.000
Si1 0.500 0.500 0.210
Br1 0.000 0.000 0.405
Br2 0.500 0.500 0.821
# mass density = 3.13 Mg/m³
# distance to the lowest polymorph of the same formula = 0.45 eV/f.u.


# 2
# GGA-PBE Sr8InHg2, relaxed
data_Sr8InHg2
_cell_length_a 9.158
_cell_length_b 9.158
_cell_length_c 6.257
_cell_angle_alpha 98.79
_cell_angle_beta 98.79
_cell_angle_gamma 112.40
_symmetry_space_group_name_H-M 'P 1'
_symmetry_Int_Tables_number 1
_symmetry_space_group_name_Hall 'P 1'
loop_
_atom_site_label
_atom_site_fract_x
_atom_site_fract_y
_atom_site_fract_z
Sr1 0.000 0.000 0.000
Sr2 0.046 0.302 0.601
Sr3 0.136 0.603 0.188
Sr4 0.302 0.046 0.601
Sr5 0.437 0.693 0.773
Sr6 0.603 0.136 0.188
Sr7 0.693 0.437 0.773
Sr8 0.739 0.739 0.376
In1 0.369 0.369 0.198
Hg1 0.053 0.686 0.688
Hg2 0.686 0.053 0.688
# mass density = 4.33 Mg/m³
# ΔE_f = -243 meV/atom


# 3
# GGA-PBE GaCuPt, relaxed
data_GaCuPt
_cell_length_a 4.927
_cell_length_b 4.927
_cell_length_c 5.263
_cell_angle_alpha 111.10
_cell_angle_beta 111.10
_cell_angle_gamma 47.59
_symmetry_space_group_name_H-M 'P 1'
_symmetry_Int_Tables_number 1
_symmetry_space_group_name_Hall 'P 1'
loop_
_atom_site_label
_atom_site_fract_x
_atom_site_fract_y
_atom_site_fract_z
Ga1 0.164 0.164 0.109
Ga2 0.836 0.836 0.891
Cu1 0.499 0.499 0.748
Cu2 0.501 0.501 0.252
Pt1 0.173 0.173 0.625
Pt2 0.827 0.827 0.375
# mass density = 12.58 Mg/m³
# ΔE_f = -360 meV/atom
# distance to the lowest polymorph of the same formula = 0.00 eV/f.u.


# 4
# GGA-PBE Mn2AlV6, relaxed
data_Mn2AlV6
_cell_length_a 3.855
_cell_length_b 3.855
_cell_length_c 8.498
_cell_angle_alpha 90.00
_cell_angle_beta 90.00
_cell_angle_gamma 90.00
_symmetry_space_group_name_H-M 'P 1'
_symmetry_Int_Tables_number 1
_symmetry_space_group_name_Hall 'P 1'
loop_
_atom_site_label
_atom_site_fract_x
_atom_site_fract_y
_atom_site_fract_z
Mn1 0.000 0.000 0.128
Mn2 0.000 0.000 0.872
Al1 0.500 0.500 0.000
V1 0.000 0.000 0.500
V2 0.000 0.500 0.275
V3 0.000 0.500 0.725
V4 0.500 0.000 0.275
V5 0.500 0.000 0.725
V6 0.500 0.500 0.500
# mass density = 5.82 Mg/m³
# ΔE_f = 189 meV/atom
# distance to the lowest polymorph of the same formula = 3.26 eV/f.u.


# 5
# GGA-PBE LiEuF2, relaxed
data_LiEuF2
_cell_length_a 8.090
_cell_length_b 8.090
_cell_length_c 8.090
_cell_angle_alpha 131.98
_cell_angle_beta 131.98
_cell_angle_gamma 70.25
_symmetry_space_group_name_H-M 'P 1'
_symmetry_Int_Tables_number 1
_symmetry_space_group_name_Hall 'P 1'
loop_
_atom_site_label
_atom_site_fract_x
_atom_site_fract_y
_atom_site_fract_z
Li1 0.000 0.000 0.000
Li2 0.000 0.000 0.500
Li3 0.000 0.500 0.000
Li4 0.500 0.000 0.500
Eu1 0.000 0.500 0.500
Eu2 0.500 0.000 0.000
Eu3 0.500 0.500 0.000
Eu4 0.500 0.500 0.500
F1 0.175 0.691 0.484
F2 0.292 0.309 0.984
F3 0.309 0.292 0.484
F4 0.309 0.825 0.016
F5 0.691 0.175 0.984
F6 0.691 0.708 0.516
F7 0.708 0.691 0.016
F8 0.825 0.309 0.516
# mass density = 4.56 Mg/m³
# distance to the lowest polymorph of the same formula = 0.20 eV/f.u.


# 6
# GGA-PBE CaScFe2, relaxed
data_CaScFe2
_cell_length_a 4.636
_cell_length_b 4.636
_cell_length_c 4.636
_cell_angle_alpha 119.39
_cell_angle_beta 119.39
_cell_angle_gamma 91.07
_symmetry_space_group_name_H-M 'P 1'
_symmetry_Int_Tables_number 1
_symmetry_space_group_name_Hall 'P 1'
loop_
_atom_site_label
_atom_site_fract_x
_atom_site_fract_y
_atom_site_fract_z
Ca1 0.000 0.000 0.000
Sc1 0.750 0.250 0.500
Fe1 0.250 0.750 0.500
Fe2 0.500 0.500 0.000
# mass density = 4.59 Mg/m³
# ΔE_f = 476 meV/atom


# 7
# GGA-PBE Ba3SnSb3, relaxed
data_Ba3SnSb3
_cell_length_a 11.527
_cell_length_b 11.527
_cell_length_c 14.462
_cell_angle_alpha 90.00
_cell_angle_beta 90.00
_cell_angle_gamma 37.59
_symmetry_space_group_name_H-M 'P 1'
_symmetry_Int_Tables_number 1
_symmetry_space_group_name_Hall 'P 1'
loop_
_atom_site_label
_atom_site_fract_x
_atom_site_fract_y
_atom_site_fract_z
Ba1 0.015 0.636 0.130
Ba2 0.136 0.515 0.630
Ba3 0.192 0.808 0.858
Ba4 0.308 0.692 0.358
Ba5 0.364 0.985 0.130
Ba6 0.485 0.864 0.630
Ba7 0.515 0.136 0.370
Ba8 0.636 0.015 0.870
Ba9 0.692 0.308 0.642
Ba10 0.808 0.192 0.142
Ba11 0.864 0.485 0.370
Ba12 0.985 0.364 0.870
Sn1 0.087 0.087 0.500
Sn2 0.413 0.413 0.000
Sn3 0.587 0.587 0.000
Sn4 0.913 0.913 0.500
Sb1 0.047 0.626 0.376
Sb2 0.126 0.547 0.876
Sb3 0.223 0.777 0.615
Sb4 0.277 0.723 0.115
Sb5 0.374 0.953 0.376
Sb6 0.453 0.874 0.876
Sb7 0.547 0.126 0.124
Sb8 0.626 0.047 0.624
Sb9 0.723 0.277 0.885
Sb10 0.777 0.223 0.385
Sb11 0.874 0.453 0.124
Sb12 0.953 0.374 0.624
# mass density = 5.08 Mg/m³
# distance to the lowest polymorph of the same formula = 0.00 eV/f.u.


# 8
# GGA-PBE In2SiAu, relaxed
data_In2SiAu
_cell_length_a 3.853
_cell_length_b 4.269
_cell_length_c 5.311
_cell_angle_alpha 90.00
_cell_angle_beta 90.00
_cell_angle_gamma 90.00
_symmetry_space_group_name_H-M 'P 1'
_symmetry_Int_Tables_number 1
_symmetry_space_group_name_Hall 'P 1'
loop_
_atom_site_label
_atom_site_fract_x
_atom_site_fract_y
_atom_site_fract_z
In1 0.000 0.000 0.000
In2 0.000 0.500 0.500
Si1 0.500 0.000 0.500
Au1 0.500 0.500 0.000
# mass density = 8.64 Mg/m³
# DFT total energy = -3.333 eV/atom


# 9
# GGA-PBE CsRb2Np3S8, relaxed
data_CsRb2Np3S8
_cell_length_a 9.327
_cell_length_b 9.327
_cell_length_c 9.327
_cell_angle_alpha 52.29
_cell_angle_beta 52.29
_cell_angle_gamma 52.29
_symmetry_space_group_name_H-M 'P 1'
_symmetry_Int_Tables_number 1
_symmetry_space_group_name_Hall 'P 1'
loop_
_atom_site_label
_atom_site_fract_x
_atom_site_fract_y
_atom_site_fract_z
Cs1 0.000 0.000 0.000
Rb1 0.363 0.363 0.363
Rb2 0.731 0.731 0.731
Np1 0.364 0.364 0.863
Np2 0.364 0.863 0.364
Np3 0.863 0.364 0.364
S1 0.107 0.107 0.547
S2 0.107 0.547 0.107
S3 0.140 0.140 0.140
S4 0.177 0.620 0.620
S5 0.547 0.107 0.107
S6 0.589 0.589 0.589
S7 0.620 0.177 0.620
S8 0.620 0.620 0.177
# mass density = 4.49 Mg/m³
# DFT total energy = -6.591 eV/atom


# 10
# GGA-PBE ZnFe4Mo, relaxed
data_ZnFe4Mo
_cell_length_a 4.718
_cell_length_b 4.718
_cell_length_c 4.718
_cell_angle_alpha 60.00
_cell_angle_beta 60.00
_cell_angle_gamma 60.00
_symmetry_space_group_name_H-M 'P 1'
_symmetry_Int_Tables_number 1
_symmetry_space_group_name_Hall 'P 1'
loop_
_atom_site_label
_atom_site_fract_x
_atom_site_fract_y
_atom_site_fract_z
Zn1 0.000 0.000 0.000
Fe1 0.375 0.375 0.375
Fe2 0.375 0.375 0.875
Fe3 0.375 0.875 0.375
Fe4 0.875 0.375 0.375
Mo1 0.750 0.750 0.750
# mass density = 8.60 Mg/m³
# ΔE_f = 45 meV/atom


# 11
# GGA-PBE Th2MnPb, relaxed
data_Th2MnPb
_cell_length_a 3.405
_cell_length_b 3.405
_cell_length_c 8.858
_cell_angle_alpha 90.00
_cell_angle_beta 90.00
_cell_angle_gamma 90.00
_symmetry_space_group_name_H-M 'P 1'
_symmetry_Int_Tables_number 1
_symmetry_space_group_name_Hall 'P 1'
loop_
_atom_site_label
_atom_site_fract_x
_atom_site_fract_y
_atom_site_fract_z
Th1 0.000 0.000 0.197
Th2 0.000 0.000 0.803
Mn1 0.500 0.500 0.000
Pb1 0.500 0.500 0.500
# mass density = 11.75 Mg/m³
# ΔE_f = -16 meV/atom
# distance to the lowest polymorph of the same formula = 0.00 eV/f.u.


# 12
# GGA-PBE PuTiZnO6, relaxed
data_PuTiZnO6
_cell_length_a 5.320
_cell_length_b 5.320
_cell_length_c 8.957
_cell_angle_alpha 90.00
_cell_angle_beta 90.00
_cell_angle_gamma 120.00
_symmetry_space_group_name_H-M 'P 1'
_symmetry_Int_Tables_number 1
_symmetry_space_group_name_Hall 'P 1'
loop_
_atom_site_label
_atom_site_fract_x
_atom_site_fract_y
_atom_site_fract_z
Pu1 0.333 0.667 0.250
Pu2 0.667 0.333 0.750
Ti1 0.333 0.667 0.750
Ti2 0.667 0.333 0.250
Zn1 0.000 0.000 0.000
Zn2 0.000 0.000 0.500
O1 0.012 0.354 0.634
O2 0.012 0.658 0.866
O3 0.342 0.354 0.866
O4 0.342 0.988 0.634
O5 0.354 0.012 0.134
O6 0.354 0.342 0.366
O7 0.646 0.658 0.634
O8 0.646 0.988 0.866
O9 0.658 0.012 0.366
O10 0.658 0.646 0.134
O11 0.988 0.342 0.134
O12 0.988 0.646 0.366
# mass density = 6.86 Mg/m³
# DFT total energy = -8.230 eV/atom


Among the records above, which one has the lowest mass density?
MgSiBr2